Material: PuF12
Method: DFT, PBE
State: optimized geometry

Cell: 6.0673 6.0673 6.0673 Å, 109.47 109.47 109.47°
With the nearest neighbours (Å) after each atom.
Positions (direct):
Pu 0.0000 0.0000 0.0000  12 F 2.28
F 0.1367 0.2946 0.4313  1 F 1.92
F 0.1367 0.7054 0.8421  1 F 1.92
F 0.1579 0.8633 0.2946  1 F 1.92
F 0.2946 0.1579 0.8633  1 F 1.92
F 0.2946 0.4313 0.1367  1 F 1.92
F 0.4313 0.1367 0.2946  1 F 1.92
F 0.5687 0.8633 0.7054  1 F 1.92
F 0.7054 0.5687 0.8633  1 F 1.92
F 0.7054 0.8421 0.1367  1 F 1.92
F 0.8421 0.1367 0.7054  1 F 1.92
F 0.8633 0.2946 0.1579  1 F 1.92
F 0.8633 0.7054 0.5687  1 F 1.92

## Properties
As for the space group: No. 204. The calculation puts the total moment at 8.096 μB per formula unit. For the electronic total energy, the calculation gives -51.01 eV for the cell shown.

***

Material: Dy2Zr2Te7
Method: DFT, PBE
State: optimized geometry

Cell: 9.4071 9.4071 9.4071 Å, 154.52 67.20 119.00°
With the nearest neighbours (Å) after each atom.
Positions (direct):
Dy 0.2290 0.0000 0.2290  7 Te 3.01-3.34
Dy 0.7710 0.0000 0.7710  7 Te 3.01-3.34
Zr 0.3197 0.8197 0.5000  8 Te 2.97-3.11
Zr 0.7648 0.7648 0.0000  7 Te 2.99-3.07
Te 0.0346 0.7123 0.3223  1 Zr 2.97, 3 Dy 3.01-3.11
Te 0.0818 0.0818 0.0000  3 Zr 3.03-3.08
Te 0.3887 0.4924 0.8963  3 Zr 3.07-3.11, 1 Te 3.25, 2 Dy 3.34
Te 0.3900 0.7123 0.6777  1 Zr 2.97, 3 Dy 3.01-3.11
Te 0.5961 0.4924 0.1037  3 Zr 3.07-3.11, 1 Te 3.25, 2 Dy 3.34
Te 0.6600 0.2957 0.3643  2 Zr 2.99, 2 Dy 3.20
Te 0.9313 0.2957 0.6357  2 Zr 2.99, 2 Dy 3.20

## Properties
As for the space group: No. 44. The calculation puts the total moment at 0.000 μB per formula unit. For the electronic total energy, the calculation gives -59.38 eV for the cell shown.

***

Material: LiPmAg
Method: DFT, PBE
State: optimized geometry

Cell: 8.4183 8.4183 5.2913 Å, 90.00 90.00 157.98°
With the nearest neighbours (Å) after each atom.
Positions (direct):
Li 0.0000 0.0000 0.0000  2 Li 2.65, 4 Ag 2.91
Li 0.0000 0.0000 0.5000  2 Li 2.65, 4 Ag 2.91
Pm 0.1866 0.8134 0.7500  5 Ag 3.15-3.27, 2 Pm 3.22, 2 Li 3.36
Pm 0.8134 0.1866 0.2500  5 Ag 3.15-3.27, 2 Pm 3.22, 2 Li 3.36
Ag 0.3770 0.6230 0.7500  4 Li 2.91, 1 Pm 3.15, 2 Ag 3.22
Ag 0.6230 0.3770 0.2500  4 Li 2.91, 1 Pm 3.15, 2 Ag 3.22

## Properties
As for the space group: No. 63. The calculation puts the formation energy at -0.06 eV per atom. The calculation puts the total moment at 0.000 μB per formula unit.

***

Material: BiIr3N
Method: DFT, PBE
State: optimized geometry

Cell: 5.0678 5.0678 5.0678 Å, 90.00 90.00 90.00°
With the nearest neighbours (Å) after each atom.
Positions (direct):
Bi 0.0000 0.0000 0.0000  6 Ir 2.53
Ir 0.0000 0.0000 0.5000  2 Bi 2.53
Ir 0.0000 0.5000 0.0000  2 Bi 2.53
Ir 0.5000 0.0000 0.0000  2 Bi 2.53
N 0.5000 0.5000 0.5000  12 Ir 3.58

## Properties
As for the space group: No. 221. The calculation puts the total moment at 4.505 μB per formula unit. For the electronic total energy, the calculation gives -22.43 eV for the cell shown.

***

Material: ThSO
Method: DFT, PBE
State: optimized geometry

Cell: 9.9097 9.9097 9.9097 Å, 23.82 23.82 23.82°
With the nearest neighbours (Å) after each atom.
Positions (direct):
Th 0.2214 0.2214 0.2214  4 O 2.36-2.49
Th 0.7786 0.7786 0.7786  4 O 2.36-2.49
S 0.3946 0.3946 0.3946  3 Th 2.78
S 0.6054 0.6054 0.6054  3 Th 2.78
O 0.1396 0.1396 0.1396  4 Th 2.36-2.49
O 0.8604 0.8604 0.8604  4 Th 2.36-2.49

## Properties
As for the space group: No. 166. The calculation puts the total moment at 0.000 μB per formula unit. For the electronic total energy, the calculation gives -50.19 eV for the cell shown.

***

Material: TaTlSe2O
Method: DFT, PBE
State: optimized geometry

Cell: 5.2500 5.2500 3.9214 Å, 90.00 90.00 90.00°
With the nearest neighbours (Å) after each atom.
Positions (direct):
Ta 0.0000 0.0000 0.0000  2 O 1.96
Tl 0.5000 0.5000 0.5000  8 Se 3.28
Se 0.0000 0.5000 0.0000  2 Ta 2.63
Se 0.5000 0.0000 0.0000  2 Ta 2.63
O 0.0000 0.0000 0.5000  2 Ta 1.96

## Properties
As for the space group: No. 123. The calculation puts the total moment at 0.000 μB per formula unit. For the electronic total energy, the calculation gives -31.54 eV for the cell shown.

***

Material: BaCaSmEu
Method: DFT, PBE
State: optimized geometry

Cell: 6.2559 6.2559 6.2559 Å, 60.00 60.00 60.00°
With the nearest neighbours (Å) after each atom.
Positions (direct):
Ba 0.0000 0.0000 0.0000  4 Ca 3.83, 4 Eu 3.83
Ca 0.7500 0.7500 0.7500  4 Ba 3.83, 4 Sm 3.83
Sm 0.5000 0.5000 0.5000  4 Ca 3.83, 4 Eu 3.83
Eu 0.2500 0.2500 0.2500  4 Ba 3.83, 4 Sm 3.83

## Properties
As for the space group: No. 216. The calculation puts the formation energy at 0.15 eV per atom. The calculation puts the total moment at 7.649 μB per formula unit.

***

Material: FeNiN
Method: DFT, PBE
State: optimized geometry

Cell: 2.7940 2.7940 3.7242 Å, 90.00 90.00 90.00°
With the nearest neighbours (Å) after each atom.
Positions (direct):
Fe 0.0000 0.0000 0.0000  4 N 1.98
Ni 0.5000 0.5000 0.5000  2 N 1.86
N 0.5000 0.5000 0.0000  2 Ni 1.86, 4 Fe 1.98

## Properties
As for the space group: No. 123. The calculation puts the total moment at 2.393 μB per formula unit. For the electronic total energy, the calculation gives -22.51 eV for the cell shown.

***

Material: TbTl2RuO6
Method: DFT, PBE
State: optimized geometry

Cell: 6.2860 6.2860 5.7601 Å, 90.00 90.00 120.00°
With the nearest neighbours (Å) after each atom.
Positions (direct):
Tb 0.0000 0.0000 0.0000  6 O 2.30
Tl 0.3333 0.6667 0.4871  3 O 2.43
Tl 0.6667 0.3333 0.5129  3 O 2.43
Ru 0.0000 0.0000 0.5000  6 O 1.94
O 0.1420 0.2840 0.7032  1 Ru 1.94
O 0.1420 0.8580 0.7032  1 Ru 1.94
O 0.2840 0.1420 0.2968  1 Ru 1.94
O 0.7160 0.8580 0.7032  1 Ru 1.94
O 0.8580 0.1420 0.2968  1 Ru 1.94
O 0.8580 0.7160 0.2968  1 Ru 1.94

## Properties
As for the space group: No. 164. The calculation puts the total moment at 0.974 μB per formula unit. For the electronic total energy, the calculation gives -61.22 eV for the cell shown.

***

Material: Sm3DyC8
Method: DFT, PBE
State: optimized geometry

Cell: 6.3383 6.3383 6.3383 Å, 111.29 111.29 105.89°
With the nearest neighbours (Å) after each atom.
Positions (direct):
Sm 0.0000 0.0000 0.0000  8 C 2.56-2.66
Sm 0.2500 0.7500 0.5000  8 C 2.69-2.70
Sm 0.7500 0.2500 0.5000  8 C 2.69-2.70
Dy 0.5000 0.5000 0.0000  4 C 2.37
C 0.1052 0.6374 0.0000  1 C 1.29
C 0.1130 0.4357 0.0000  1 C 1.29
C 0.3626 0.3626 0.4677  1 C 1.29
C 0.4357 0.1130 0.0000  1 C 1.29
C 0.5643 0.5643 0.6773  1 C 1.29
C 0.6374 0.1052 0.0000  1 C 1.29
C 0.8870 0.8870 0.3227  1 C 1.29
C 0.8948 0.8948 0.5323  1 C 1.29

## Properties
As for the space group: No. 121. The calculation puts the formation energy at 0.14 eV per atom. The calculation puts the total moment at 0.000 μB per formula unit.

***

Material: Tb2InHg6
Method: DFT, PBE
State: optimized geometry

Cell: 6.0468 6.0468 6.0848 Å, 92.33 92.33 92.94°
With the nearest neighbours (Å) after each atom.
Positions (direct):
Tb 0.1763 0.1763 0.1778  1 In 3.24, 12 Hg 3.31-3.43, 1 Tb 3.54
Tb 0.8237 0.8237 0.8222  1 In 3.24, 12 Hg 3.31-3.43, 1 Tb 3.54
In 0.5000 0.5000 0.5000  2 Tb 3.24, 12 Hg 3.36-3.38
Hg 0.0006 0.6689 0.3329  3 Hg 2.90-2.94
Hg 0.3314 0.6686 0.0000  3 Hg 2.90-2.96
Hg 0.3311 0.9994 0.6671  3 Hg 2.90-2.94
Hg 0.6689 0.0006 0.3329  3 Hg 2.90-2.94
Hg 0.6686 0.3314 0.0000  3 Hg 2.90-2.96
Hg 0.9994 0.3311 0.6671  3 Hg 2.90-2.94

## Properties
As for the space group: No. 12. The calculation puts the formation energy at -0.27 eV per atom. The calculation puts the total moment at 0.000 μB per formula unit.